DFT (PBEsol) results for NbCr3Cu2S8 after structural relaxation. Values from VASP.

```
&SYSTEM
  ibrav = 0, nat = 14, ntyp = 4
/
ATOMIC_SPECIES
Nb 92.91 Nb.upf
Cr 52.00 Cr.upf
Cu 63.55 Cu.upf
S 32.06 S.upf
CELL_PARAMETERS angstrom
3.520 2.032 5.400
-3.520 2.032 5.400
0.000 -4.065 5.400
ATOMIC_POSITIONS crystal
Nb 0.000 0.000 0.000
Cr 0.000 0.000 0.500
Cr 0.000 0.500 0.000
Cr 0.500 0.000 0.000
Cu 0.378 0.378 0.378
Cu 0.622 0.622 0.622
S 0.235 0.748 0.748
S 0.242 0.242 0.242
S 0.252 0.252 0.765
S 0.252 0.765 0.252
S 0.748 0.235 0.748
S 0.748 0.748 0.235
S 0.758 0.758 0.758
S 0.765 0.252 0.252
```

As for the polymorph energy (0 for the lowest one): 0 meV/atom. Its density of states at the Fermi level is 0.36 states/eV/atom. Its symmetry is R-3m (166).